Material: IrRuPt6
Method: DFT, PBE-GGA
State: relaxed

Unit cell a=8.7918 b=3.9445 c=7.8899 alpha=90.00 beta=116.67 gamma=90.00
Closest atoms and distances in Å follow each position.
Element x y z (fractional)
Ir 0.0000 0.0000 0.0000  12 Pt 2.78-2.80
Ir 0.5000 0.5000 0.0000  12 Pt 2.78-2.80
Ru 0.0000 0.0000 0.5000  12 Pt 2.77-2.79
Ru 0.5000 0.5000 0.5000  12 Pt 2.77-2.79
Pt 0.0006 0.5000 0.7479  8 Pt 2.77-2.80, 2 Ru 2.78, 2 Ir 2.80
Pt 0.2496 0.0000 0.3761  8 Pt 2.77-2.79, 3 Ru 2.77-2.79, 1 Ir 2.79
Pt 0.2501 0.0000 0.8740  1 Ru 2.78, 8 Pt 2.78-2.80, 3 Ir 2.78-2.79
Pt 0.2499 0.5000 0.1260  1 Ru 2.78, 8 Pt 2.78-2.80, 3 Ir 2.78-2.79
Pt 0.2504 0.5000 0.6239  8 Pt 2.77-2.79, 3 Ru 2.77-2.79, 1 Ir 2.79
Pt 0.4994 0.0000 0.2521  8 Pt 2.77-2.80, 2 Ru 2.78, 2 Ir 2.80
Pt 0.5006 0.0000 0.7479  8 Pt 2.77-2.80, 2 Ru 2.78, 2 Ir 2.80
Pt 0.7499 0.0000 0.1260  1 Ru 2.78, 8 Pt 2.78-2.80, 3 Ir 2.78-2.79
Pt 0.7504 0.0000 0.6239  8 Pt 2.77-2.79, 3 Ru 2.77-2.79, 1 Ir 2.79
Pt 0.7496 0.5000 0.3761  8 Pt 2.77-2.79, 3 Ru 2.77-2.79, 1 Ir 2.79
Pt 0.7501 0.5000 0.8740  1 Ru 2.78, 8 Pt 2.78-2.80, 3 Ir 2.78-2.79
Pt 0.9994 0.5000 0.2521  8 Pt 2.77-2.80, 2 Ru 2.78, 2 Ir 2.80

ΔE_f: 0.0308 eV per atom
VASP energy: -108.27 eV/cell
SG: C2/m (12)